Entry 1:
BeAlGaFe2 | GGA-PBE | optimized geometry

CIF file:
```
data_BeAlGaFe2
_chemical_formula_sum 'Be1 Al1 Ga1 Fe2'
_symmetry_space_group_name_H-M 'P 4/m m m'
_symmetry_Int_Tables_number 123
_symmetry_space_group_name_Hall '-P 4 2'
_cell_length_a 4.2416
_cell_length_b 4.2416
_cell_length_c 4.0620
_cell_angle_alpha 90.00
_cell_angle_beta 90.00
_cell_angle_gamma 90.00
loop_
_atom_site_label
_atom_site_type_symbol
_atom_site_fract_x
_atom_site_fract_y
_atom_site_fract_z
Be1 Be 0.0000 0.0000 0.0000
Al1 Al 0.0000 0.0000 0.5000
Ga1 Ga 0.5000 0.5000 0.0000
Fe1 Fe 0.0000 0.5000 0.5000
```

Computed properties:
M_tot, μB/f.u.: 3.94
Theoretical density, Mg/m³: 4.94
Crystal system: tetragonal
Energy of formation from the pure elements, eV per atom: 1.016

---

Entry 2:
PrMg2In | GGA-PBE | optimized geometry

CIF file:
```
data_PrMg2In
_chemical_formula_sum 'Pr4 Mg8 In4'
_symmetry_space_group_name_H-M 'F m -3 m'
_symmetry_Int_Tables_number 225
_symmetry_space_group_name_Hall '-F 4 2 3'
_cell_length_a 7.3647
_cell_length_b 7.3647
_cell_length_c 7.3647
_cell_angle_alpha 90.00
_cell_angle_beta 90.00
_cell_angle_gamma 90.00
loop_
_atom_site_label
_atom_site_type_symbol
_atom_site_fract_x
_atom_site_fract_y
_atom_site_fract_z
Pr1 Pr 0.0000 0.0000 0.0000
Mg1 Mg 0.2500 0.2500 0.2500
In1 In 0.0000 0.0000 0.5000
```

Computed properties:
M_tot, μB/f.u.: 0.00
E above lowest polymorph, eV per atom: 0.096
Theoretical density, Mg/m³: 5.06
Crystal system: cubic
Energy of formation from the pure elements, eV per atom: -0.190

---

Entry 3:
NiTe2PIr | GGA-PBE | optimized geometry

CIF file:
```
data_NiTe2PIr
_chemical_formula_sum 'Ni1 Te2 P1 Ir1'
_symmetry_space_group_name_H-M 'P 4/m m m'
_symmetry_Int_Tables_number 123
_symmetry_space_group_name_Hall '-P 4 2'
_cell_length_a 5.2635
_cell_length_b 5.2635
_cell_length_c 4.3428
_cell_angle_alpha 90.00
_cell_angle_beta 90.00
_cell_angle_gamma 90.00
loop_
_atom_site_label
_atom_site_type_symbol
_atom_site_fract_x
_atom_site_fract_y
_atom_site_fract_z
Ni1 Ni 0.0000 0.0000 0.0000
Te1 Te 0.0000 0.5000 0.5000
P1 P 0.5000 0.5000 0.5000
Ir1 Ir 0.5000 0.5000 0.0000
```

Computed properties:
M_tot, μB/f.u.: 0.76
Theoretical density, Mg/m³: 7.41
Crystal system: tetragonal
ΔE_f (raw), eV per formula unit: 5.21

---

no.,DOS at the Fermi energy (states/eV/cell)
1,2.67
2,5.70
3,8.51